# RbTlF3 | Alexandria via LeMat-Bulk | PBE-GGA | relaxed
# E: -0.134 hartree per atom
# Fermi-level density of states: 3.7 states/eV per cell
data_RbTlF3
_chemical_formula_sum 'Rb4 Tl4 F12'
_symmetry_space_group_name_H-M 'C m c m'
_symmetry_Int_Tables_number 63
_symmetry_space_group_name_Hall '-C 2c 2'
_cell_length_a 5.8365
_cell_length_b 15.9422
_cell_length_c 4.6210
_cell_angle_alpha 90.00
_cell_angle_beta 90.00
_cell_angle_gamma 90.00
loop_
_atom_site_label
_atom_site_type_symbol
_atom_site_fract_x
_atom_site_fract_y
_atom_site_fract_z
Rb1 Rb 0.0000 0.1729 0.2500
Tl1 Tl 0.0000 0.4412 0.2500
F1 F 0.0000 0.0000 0.0000
F2 F 0.2318 0.3357 0.2500



# RbTlF5 | Alexandria via LeMat-Bulk | PBE-GGA | relaxed
# E: -0.133 hartree per atom
# Fermi-level density of states: 34.8 states/eV per cell
data_RbTlF5
_chemical_formula_sum 'Rb4 Tl4 F20'
_symmetry_space_group_name_H-M 'C 1 2/c 1'
_symmetry_Int_Tables_number 15
_cell_length_a 4.6212
_cell_length_b 16.7322
_cell_length_c 6.2651
_cell_angle_alpha 90.00
_cell_angle_beta 93.25
_cell_angle_gamma 90.00
loop_
_symmetry_equiv_pos_as_xyz
'x,y,z'
'-x,-y,-z'
'-x,y,-z+1/2'
'x,-y,z+1/2'
'x+1/2,y+1/2,z'
'-x+1/2,-y+1/2,-z'
'-x+1/2,y+1/2,-z+1/2'
'x+1/2,-y+1/2,z+1/2'
loop_
_atom_site_label
_atom_site_type_symbol
_atom_site_fract_x
_atom_site_fract_y
_atom_site_fract_z
Rb1 Rb 0.0000 0.1771 0.2500
Tl1 Tl 0.0000 0.4329 0.2500
F1 F 0.0000 0.1052 0.7500
F2 F 0.0214 0.3323 0.0253
F3 F 0.2303 0.4681 0.5970